! SmAsS, relaxed, DFT PBEsol; values from VASP
&SYSTEM
  ibrav = 0, nat = 12, ntyp = 3
/
ATOMIC_SPECIES
Sm 150.36 Sm.upf
As 74.92 As.upf
S 32.06 S.upf
ATOMIC_POSITIONS angstrom
Sm 2.487 0.958 0.907
Sm 6.054 2.874 2.842
Sm 11.029 0.958 1.028
Sm 14.596 2.874 2.963
As 0.023 0.958 2.778
As 8.519 2.874 0.843
As 8.564 0.958 3.027
As 17.060 2.874 1.092
S 3.189 2.874 2.849
S 5.352 0.958 0.914
S 11.731 2.874 2.956
S 13.894 0.958 1.021
CELL_PARAMETERS angstrom
17.083 0.000 0.000
0.000 3.831 0.000
0.000 0.000 3.870
! **Calculated total energy**: -78.00 eV for the cell shown
! **Formation energy (no corrections)**: -1.64 eV/atom
! **Density**: 6.75 g cm⁻³